# CdPtSN2

A relaxed CdPtSN2 crystal (PBE, the Alexandria database).

Structure (POSCAR):
```
CdPtSN2
1.0
3.7356 0.0000 0.0000
0.0000 3.7356 0.0000
0.0000 0.0000 8.3930
Cd Pt S N
1 1 1 2
Direct
0.0000 0.0000 0.0000
0.5000 0.5000 0.5000
0.5000 0.5000 0.0000
0.0000 0.5000 0.5000
0.5000 0.0000 0.5000
```

## Properties
- E: -0.1703 hartree per atom
- E_form (uncorrected): 913 meV per atom
- Magnetic moment: 0.000 μB per formula unit
- Excess energy over the best structure of this formula in the dataset: 0.000 eV per atom

=====

# CdPtSN2

A relaxed CdPtSN2 crystal (PBE, the Alexandria database).

Structure (POSCAR):
```
CdPtSN2
1.0
4.0608 0.0000 0.0000
0.0000 4.0608 0.0000
0.0000 0.0000 5.6162
Cd Pt S N
1 1 1 2
Direct
0.0000 0.0000 0.0000
0.5000 0.5000 0.5000
0.0000 0.0000 0.5000
0.0000 0.5000 0.0000
0.5000 0.0000 0.0000
```

## Properties
- E: -0.1265 hartree per atom
- E_form (uncorrected): 2104 meV per atom
- Magnetic moment: 4.086 μB per formula unit
- Excess energy over the best structure of this formula in the dataset: 1.191 eV per atom

=====

# Sr2CdPtN

A relaxed Sr2CdPtN crystal (PBE, the Alexandria database).

Structure (POSCAR):
```
Sr2CdPtN
1.0
5.5726 0.0000 0.0000
0.0000 5.5726 0.0000
0.0000 0.0000 3.8816
Sr Cd Pt N
2 1 1 1
Direct
0.0000 0.5000 0.0000
0.5000 0.0000 0.0000
0.0000 0.0000 0.5000
0.5000 0.5000 0.5000
0.5000 0.5000 0.0000
```

## Properties
- E: -0.1546 hartree per atom
- E_form (uncorrected): -479 meV per atom
- Magnetic moment: 0.000 μB per formula unit

=====

# ThCdPtN

A relaxed ThCdPtN crystal (PBE, the Alexandria database).

Structure (POSCAR):
```
ThCdPtN
1.0
4.2077 0.0000 0.0000
0.0000 4.2077 0.0000
0.0000 0.0000 9.0335
Th Cd Pt N
2 2 2 2
Direct
0.2500 0.2500 0.1229
0.7500 0.7500 0.8771
0.2500 0.7500 0.5000
0.7500 0.2500 0.5000
0.2500 0.2500 0.6999
0.7500 0.7500 0.3001
0.2500 0.7500 0.0000
0.7500 0.2500 0.0000
```

## Properties
- E: -0.2428 hartree per atom
- E_form (uncorrected): -932 meV per atom
- Magnetic moment: 0.000 μB per formula unit